1.
First-principles (PBE-GGA) data for a relaxed KNaDy crystal, as listed in the Open Quantum Materials Database.

abc: 5.8513 5.8513 5.8513
angles: 60.00 60.00 60.00
Sites, in units of the cell vectors:
Na 0.7500 0.7500 0.7500
K 0.0000 0.0000 0.0000
Dy 0.2500 0.2500 0.2500

* total moment: 0.6 μB/cell
* calculated total energy: -3.910 eV for the cell shown

2.
First-principles (PBE-GGA) data for a relaxed KDyNb crystal, as listed in the Open Quantum Materials Database.

abc: 5.4832 5.4832 5.4832
angles: 60.00 60.00 60.00
Sites, in units of the cell vectors:
Dy 0.2500 0.2500 0.2500
K 0.7500 0.7500 0.7500
Nb 0.0000 0.0000 0.0000

* energy above the lowest structure with this stoichiometry: 0 meV per atom
* total moment: 4.9 μB/cell
* calculated total energy: -10.985 eV for the cell shown

3.
First-principles (PBE-GGA) data for a relaxed KNdDy crystal, as listed in the Open Quantum Materials Database.

abc: 5.9207 5.9207 5.9207
angles: 60.00 60.00 60.00
Sites, in units of the cell vectors:
Nd 0.7500 0.7500 0.7500
Dy 0.0000 0.0000 0.0000
K 0.2500 0.2500 0.2500

* energy above the lowest structure with this stoichiometry: 0 meV per atom
* total moment: 1.3 μB/cell
* calculated total energy: -7.052 eV for the cell shown

4.
First-principles (PBE-GGA) data for a relaxed KDyNiS3 crystal, as listed in the Open Quantum Materials Database.

abc: 8.6826 3.9100 9.1873
angles: 90.00 106.91 90.00
Sites, in units of the cell vectors:
S 0.6792 0.7500 0.0395
S 0.9590 0.7500 0.6636
Dy 0.8280 0.7500 0.3582
K 0.7026 0.2500 0.7356
Ni 0.5768 0.2500 0.0957
S 0.3208 0.2500 0.9605
S 0.0410 0.2500 0.3364
S 0.6086 0.2500 0.3507
S 0.3914 0.7500 0.6493
K 0.2974 0.7500 0.2644
Ni 0.4232 0.7500 0.9043
Dy 0.1720 0.2500 0.6418

* total moment: 2.5 μB/cell
* calculated total energy: -63.005 eV for the cell shown